[1]
Below is crystalline MgIr at its relaxed geometry, with properties calculated at the PBE-GGA level.

Computed properties:
Crystal system: orthorhombic
Calculated total energy (eV/cell): -43.2

Cell: 5.433 4.949 4.616 Å, 90.00 90.00 90.00°
Fractional positions:
Mg (0.138, 0.075, 0.250)
Mg (0.138, 0.425, 0.750)
Mg (0.862, 0.575, 0.250)
Mg (0.862, 0.925, 0.750)
Ir (0.380, 0.588, 0.250)
Ir (0.380, 0.912, 0.750)
Ir (0.620, 0.088, 0.250)
Ir (0.620, 0.412, 0.750)

***

[2]
Below is crystalline MgIr2 at its relaxed geometry, with properties calculated at the PBE-GGA level.

Computed properties:
Crystal system: tetragonal
Calculated total energy (eV/cell): -28.6

Cell: 5.174 5.174 4.034 Å, 90.00 90.00 90.00°
Fractional positions:
Mg (0.000, 0.000, 0.000)
Mg (0.500, 0.500, 0.500)
Ir (0.179, 0.179, 0.500)
Ir (0.321, 0.679, 0.000)
Ir (0.679, 0.321, 0.000)
Ir (0.821, 0.821, 0.500)